Compound: NdAs2Rh
Source: Alexandria via LeMat-Bulk
Functional: GGA-PBE
Structure: relaxed

DFT formation energy = -59 kJ/mol of formula units

a = 3.3754 Å, b = 3.3754 Å, c = 9.4372 Å
α = 79.70°, β = 79.70°, γ = 60.00°
Sites, in units of the cell vectors:
Rh  0.5000  0.5000  0.5000
As  0.1078  0.1078  0.6766
As  0.8922  0.8922  0.3234
Nd  0.0000  0.0000  0.0000


Compound: NaAcDySn
Source: Alexandria via LeMat-Bulk
Functional: GGA-PBE
Structure: relaxed

DFT formation energy = -90 kJ/mol of formula units

a = 5.6022 Å, b = 5.6022 Å, c = 5.6022 Å
α = 60.00°, β = 60.00°, γ = 60.00°
Sites, in units of the cell vectors:
Na  0.7500  0.7500  0.7500
Ac  0.5000  0.5000  0.5000
Sn  0.2500  0.2500  0.2500
Dy  0.0000  0.0000  0.0000


Compound: Pm3Pr4Ag
Source: Alexandria via LeMat-Bulk
Functional: GGA-PBE
Structure: relaxed

DFT formation energy = -32 kJ/mol of formula units

a = 3.7039 Å, b = 3.7039 Å, c = 19.5241 Å
α = 90.00°, β = 90.00°, γ = 90.00°
Sites, in units of the cell vectors:
Pr  0.0000  0.0000  0.8987
Pr  0.0000  0.0000  0.1013
Pr  0.0000  0.0000  0.3668
Pr  0.0000  0.0000  0.6332
Ag  0.5000  0.5000  0.0000
Pm  0.5000  0.5000  0.2350
Pm  0.5000  0.5000  0.5000
Pm  0.5000  0.5000  0.7650


Compound: SiAsIO2
Source: Alexandria via LeMat-Bulk
Functional: GGA-PBE
Structure: relaxed

E above lowest polymorph = 0 meV/atom
E_form (uncorrected) = -317 meV/atom

a = 3.6665 Å, b = 3.6665 Å, c = 7.1055 Å
α = 90.00°, β = 90.00°, γ = 90.00°
Sites, in units of the cell vectors:
I  0.0000  0.0000  0.5000
As  0.5000  0.5000  0.5000
Si  0.0000  0.0000  0.0000
O  0.0000  0.5000  0.0000
O  0.5000  0.0000  0.0000


Compound: SrHfCu2Ni
Source: Alexandria via LeMat-Bulk
Functional: GGA-PBE
Structure: relaxed

DFT formation energy = 1019 kJ/mol of formula units

a = 4.8258 Å, b = 5.5003 Å, c = 4.8258 Å
α = 90.00°, β = 90.00°, γ = 90.00°
Sites, in units of the cell vectors:
Sr  0.0000  0.0000  0.0000
Hf  0.0000  0.5000  0.0000
Cu  0.0000  0.0000  0.5000
Cu  0.5000  0.0000  0.0000
Ni  0.5000  0.5000  0.5000


Compound: LaTb2Pm4Sm
Source: Alexandria via LeMat-Bulk
Functional: GGA-PBE
Structure: relaxed

DFT formation energy = 14 kJ/mol of formula units

a = 3.6471 Å, b = 12.0888 Å, c = 6.2899 Å
α = 79.75°, β = 90.00°, γ = 90.00°
Sites, in units of the cell vectors:
La  0.5000  0.5000  0.0000
Tb  0.0000  0.0000  0.0000
Tb  0.5000  0.0000  0.5000
Pm  0.0000  0.7545  0.7495
Pm  0.0000  0.2455  0.2505
Pm  0.5000  0.7533  0.2501
Pm  0.5000  0.2467  0.7499
Sm  0.0000  0.5000  0.5000


Compound: WAu3
Source: Alexandria via LeMat-Bulk
Functional: GGA-PBE
Structure: relaxed

DFT formation energy = 89 kJ/mol of formula units

a = 2.8659 Å, b = 2.8659 Å, c = 8.4558 Å
α = 90.00°, β = 90.00°, γ = 90.04°
Sites, in units of the cell vectors:
Au  0.0000  0.0000  0.0123
Au  0.0000  0.0000  0.4877
Au  0.5000  0.5000  0.7500
W  0.5000  0.5000  0.2500


Compound: SrPu2AlO8
Source: Alexandria via LeMat-Bulk
Functional: GGA-PBE
Structure: relaxed

E_form (uncorrected) = -2687 meV/atom

a = 4.8988 Å, b = 4.8983 Å, c = 6.8935 Å
α = 90.00°, β = 90.00°, γ = 85.97°
Sites, in units of the cell vectors:
Sr  0.0000  0.0000  0.5000
Pu  0.5000  0.5000  0.7627
Pu  0.5000  0.5000  0.2373
Al  0.0000  0.0000  0.0000
O  0.1982  0.8014  0.2018
O  0.7018  0.7022  0.0000
O  0.8018  0.1986  0.2018
O  0.8018  0.1986  0.7982
O  0.2982  0.2978  0.0000
O  0.1982  0.8014  0.7982
O  0.6678  0.6683  0.5000
O  0.3322  0.3317  0.5000


Compound: NaPrGa4
Source: Alexandria via LeMat-Bulk
Functional: GGA-PBE
Structure: relaxed

DFT formation energy = -219 kJ/mol of formula units

a = 4.4932 Å, b = 5.8240 Å, c = 5.8239 Å
α = 76.43°, β = 67.31°, γ = 67.31°
Sites, in units of the cell vectors:
Na  0.0000  0.5000  0.0000
Pr  0.0000  0.0000  0.5000
Ga  0.6663  0.5411  0.6263
Ga  0.3337  0.4589  0.3737
Ga  0.3337  0.8737  0.9589
Ga  0.6663  0.1263  0.0411


Compound: TlMoP
Source: Alexandria via LeMat-Bulk
Functional: GGA-PBE
Structure: relaxed

DFT formation energy = 70 kJ/mol of formula units
E above lowest polymorph = 149 meV/atom

a = 4.1009 Å, b = 4.1009 Å, c = 3.9745 Å
α = 90.00°, β = 90.00°, γ = 120.00°
Sites, in units of the cell vectors:
Tl  0.3333  0.6667  0.5000
Mo  0.0000  0.0000  0.0000
P  0.6667  0.3333  0.0000


Compound: Pm2ZrTe5
Source: Alexandria via LeMat-Bulk
Functional: GGA-PBE
Structure: relaxed

E_form (uncorrected) = -1089 meV/atom

a = 6.0782 Å, b = 7.9578 Å, c = 14.4107 Å
α = 90.00°, β = 90.00°, γ = 112.45°
Sites, in units of the cell vectors:
Pm  0.8450  0.6901  0.4397
Pm  0.8450  0.6901  0.0603
Pm  0.1550  0.3100  0.5603
Pm  0.1550  0.3100  0.9397
Zr  0.8076  0.6152  0.7500
Zr  0.1924  0.3848  0.2500
Te  0.9532  0.9065  0.8767
Te  0.9532  0.9065  0.6233
Te  0.3191  0.6383  0.4132
Te  0.3191  0.6383  0.0868
Te  0.7269  0.4537  0.2500
Te  0.2731  0.5463  0.7500
Te  0.6809  0.3617  0.5868
Te  0.6809  0.3617  0.9132
Te  0.0468  0.0935  0.1233
Te  0.0468  0.0935  0.3767


Compound: NaPm2In
Source: Alexandria via LeMat-Bulk
Functional: GGA-PBE
Structure: relaxed

DFT formation energy = -48 kJ/mol of formula units

a = 4.2813 Å, b = 5.2781 Å, c = 5.2781 Å
α = 90.00°, β = 90.00°, γ = 90.00°
Sites, in units of the cell vectors:
Na  0.5000  0.0000  0.0000
In  0.5000  0.5000  0.5000
Pm  0.0000  0.0000  0.5000
Pm  0.0000  0.5000  0.0000


Compound: DyHoSeS
Source: Alexandria via LeMat-Bulk
Functional: GGA-PBE
Structure: relaxed

E_form (uncorrected) = -1884 meV/atom

a = 3.8906 Å, b = 3.8910 Å, c = 7.2215 Å
α = 90.00°, β = 105.64°, γ = 120.00°
Sites, in units of the cell vectors:
Dy  0.4871  0.1415  0.6439
Ho  0.1174  0.9567  0.0893
Se  0.9660  0.3810  0.3622
S  0.3074  0.5516  0.8743


Compound: CaMg
Source: Alexandria via LeMat-Bulk
Functional: GGA-PBE
Structure: relaxed

DFT formation energy = 15 kJ/mol of formula units

a = 3.6965 Å, b = 3.6965 Å, c = 11.1353 Å
α = 90.00°, β = 90.00°, γ = 120.00°
Sites, in units of the cell vectors:
Ca  0.6667  0.3333  0.6469
Ca  0.3333  0.6667  0.3531
Mg  0.3333  0.6667  0.8922
Mg  0.6667  0.3333  0.1078


Compound: Ni2RhCl
Source: Alexandria via LeMat-Bulk
Functional: GGA-PBE
Structure: relaxed

E above lowest polymorph = 311 meV/atom
E_form (uncorrected) = 513 meV/atom

a = 5.0261 Å, b = 5.0261 Å, c = 5.0261 Å
α = 147.89°, β = 127.08°, γ = 63.26°
Sites, in units of the cell vectors:
Cl  0.2420  0.7420  0.5000
Ni  0.0093  0.0093  0.0000
Ni  0.7570  0.2570  0.5000
Rh  0.4917  0.4917  0.0000


Compound: ScCu5Pt6
Source: Alexandria via LeMat-Bulk
Functional: GGA-PBE
Structure: relaxed

DFT formation energy = -469 kJ/mol of formula units

a = 4.6062 Å, b = 5.6538 Å, c = 6.6871 Å
α = 90.00°, β = 94.97°, γ = 90.00°
Sites, in units of the cell vectors:
Sc  0.0000  0.0000  0.0000
Pt  0.8279  0.7470  0.6615
Pt  0.8279  0.2530  0.6615
Pt  0.5000  0.2557  0.0000
Pt  0.5000  0.7443  0.0000
Pt  0.1721  0.7470  0.3385
Pt  0.1721  0.2530  0.3385
Cu  0.6733  0.5000  0.3263
Cu  0.3367  0.0000  0.6649
Cu  0.0000  0.5000  0.0000
Cu  0.6633  0.0000  0.3351
Cu  0.3267  0.5000  0.6737


Compound: Li4Cd2Pd
Source: Alexandria via LeMat-Bulk
Functional: GGA-PBE
Structure: relaxed

DFT formation energy = -173 kJ/mol of formula units
E above lowest polymorph = 0 meV/atom

a = 5.6297 Å, b = 4.9774 Å, c = 8.8565 Å
α = 106.32°, β = 90.83°, γ = 90.00°
Sites, in units of the cell vectors:
Li  0.8978  0.6672  0.1242
Li  0.6022  0.5430  0.8758
Li  0.1022  0.3328  0.8758
Li  0.3978  0.4570  0.1242
Li  0.0254  0.2108  0.2580
Li  0.4746  0.9528  0.7420
Li  0.9746  0.7892  0.7420
Li  0.5254  0.0472  0.2580
Cd  0.1805  0.7908  0.4108
Cd  0.3195  0.3800  0.5892
Cd  0.8195  0.2092  0.5892
Cd  0.6805  0.6200  0.4108
Pd  0.7500  0.0915  0.0000
Pd  0.2500  0.9085  0.0000


Compound: PaCF
Source: Alexandria via LeMat-Bulk
Functional: GGA-PBE
Structure: relaxed

E above lowest polymorph = 151 meV/atom
E_form (uncorrected) = -1654 meV/atom

a = 3.9412 Å, b = 3.9412 Å, c = 3.9412 Å
α = 60.00°, β = 60.00°, γ = 60.00°
Sites, in units of the cell vectors:
C  0.0000  0.0000  0.0000
Pa  0.2500  0.2500  0.2500
F  0.5000  0.5000  0.5000


Compound: Li2ZnCuF8
Source: Alexandria via LeMat-Bulk
Functional: GGA-PBE
Structure: relaxed

E_form (uncorrected) = -2025 meV/atom

a = 4.6384 Å, b = 4.6266 Å, c = 6.2067 Å
α = 90.00°, β = 90.00°, γ = 94.33°
Sites, in units of the cell vectors:
Li  0.5000  0.5000  0.7482
Li  0.5000  0.5000  0.2518
Zn  0.0000  0.0000  0.5000
Cu  0.0000  0.0000  0.0000
F  0.1862  0.8101  0.2334
F  0.7056  0.7092  0.0000
F  0.8138  0.1899  0.2335
F  0.8138  0.1899  0.7666
F  0.2944  0.2908  0.0000
F  0.1862  0.8101  0.7665
F  0.6960  0.6991  0.5000
F  0.3040  0.3009  0.5000


Compound: CaTiHg2
Source: Alexandria via LeMat-Bulk
Functional: GGA-PBE
Structure: relaxed

DFT formation energy = 99 kJ/mol of formula units
E above lowest polymorph = 444 meV/atom

a = 4.8725 Å, b = 4.8725 Å, c = 10.1489 Å
α = 76.11°, β = 76.11°, γ = 90.00°
Sites, in units of the cell vectors:
Ca  0.5000  0.5000  0.0000
Ca  0.2500  0.7500  0.5000
Hg  0.6828  0.1250  0.2500
Hg  0.0672  0.6250  0.2500
Hg  0.3750  0.3172  0.7500
Hg  0.8750  0.9328  0.7500
Ti  0.0000  0.0000  0.0000
Ti  0.7500  0.2500  0.5000